The following is a DFT calculation (GGA-PBE) of crystalline CsNaH at its relaxed geometry.

Computed properties:
Uncorrected energy   -1.91 eV per atom
E above lowest polymorph   21 meV per atom
Theoretical density   2.5 g cm⁻³
Total magnetic moment   0.0000 μB/atom

Cell lengths 4.6730, 6.8540, 13.0014 Å; angles 90.00, 90.00, 90.00 degrees
Closest atoms and distances in Å follow each position.
Space group Imma (No. 74)
Asymmetric unit:
Cs: 0.0000 0.2500 0.0966 [4 per cell]  4 H 3.16
Na: 0.0000 0.2500 0.6352 [4 per cell]  2 H 2.45
H: 0.0000 0.0000 0.5000 [4 per cell]  2 Na 2.45

---

The following is a DFT calculation (GGA-PBE) of crystalline Cs6Na2Nb6H36O37 at its relaxed geometry.

Computed properties:
Uncorrected energy   -5.86 eV per atom
Theoretical density   3.1 g cm⁻³
Total magnetic moment   0.0001 μB/atom

Cell lengths 12.7952, 12.7952, 22.8112 Å; angles 90.00, 90.00, 120.00 degrees
Closest atoms and distances in Å follow each position.
Space group R-3 (No. 148, hexagonal axes)
Asymmetric unit:
Cs: 0.0231 0.7221 0.2499 [18 per cell]  5 H 3.02-3.36, 5 O 3.19-3.29
Na: 0.0000 0.0000 0.2855 [6 per cell]  6 O 2.42-2.47
Nb: 0.0005 0.1536 0.9388 [18 per cell]  5 O 1.84-2.03
H: 0.0026 0.8618 0.8240 [18 per cell]  1 O 1.00
H: 0.0259 0.2623 0.5429 [18 per cell]  1 O 1.02
H: 0.0262 0.7859 0.7767 [18 per cell]  1 O 0.99
H: 0.0478 0.1608 0.6102 [18 per cell]  1 O 0.99
H: 0.0713 0.5368 0.3216 [18 per cell]  1 O 1.00
H: 0.0751 0.1829 0.5101 [18 per cell]  1 O 1.00
O: 0.0000 0.0000 0.0000 [3 per cell]  6 Nb 2.41
O: 0.0001 0.1266 0.0998 [18 per cell]  1 H 1.75
O: 0.0027 0.2730 0.8932 [18 per cell]  2 H 1.59-1.78
O: 0.0037 0.8496 0.7809 [18 per cell]  2 H 0.99-1.00
O: 0.0058 0.1766 0.5334 [18 per cell]  2 H 1.00-1.02
O: 0.0810 0.5398 0.6670 [18 per cell]  1 H 1.71
O: 0.0844 0.1726 0.6495 [18 per cell]  2 H 0.99-1.00